VASP calculation (GGA-PBE) on a geometry-optimized La5GaRu structure.

- Magnetization: 0.000 μB/cell
- Final energy: -5.489 eV per atom
- V: 30.534 A^3/atom
- E_form: -0.212 eV/atom

Cell lengths 10.117, 7.444, 11.760 Å; angles 90.00, 105.12, 90.00 degrees
Space group C2/c (No. 15)
Unique sites:
La 0.000 0.036 0.250 [4 per cell]
La 0.110 0.325 0.545 [8 per cell]
La 0.242 0.210 0.139 [8 per cell]
Ga 0.000 0.458 0.250 [4 per cell]
Ru 0.000 0.000 0.000 [4 per cell]